Record 1
The following is a PBE-GGA calculation of crystalline ZrTe6Cl6 at its relaxed geometry, from OQMD.

a b c (Å): 11.231 11.144 13.170
angles (deg): 90.00 90.00 90.00
Fractional coordinates of all 52 atoms:
Cl 0.656 0.085 0.116
Cl 0.344 0.585 0.116
Cl 0.862 0.331 0.118
Cl 0.138 0.831 0.118
Cl 0.924 0.056 0.250
Cl 0.594 0.346 0.250
Cl 0.076 0.556 0.250
Cl 0.406 0.846 0.250
Cl 0.862 0.331 0.382
Cl 0.138 0.831 0.382
Cl 0.656 0.085 0.384
Cl 0.344 0.585 0.384
Cl 0.656 0.415 0.616
Cl 0.344 0.915 0.616
Cl 0.862 0.169 0.618
Cl 0.138 0.669 0.618
Cl 0.594 0.154 0.750
Cl 0.924 0.444 0.750
Cl 0.406 0.654 0.750
Cl 0.076 0.944 0.750
Cl 0.862 0.169 0.882
Cl 0.138 0.669 0.882
Cl 0.656 0.415 0.884
Cl 0.344 0.915 0.884
Te 0.476 0.250 0.000
Te 0.524 0.750 0.000
Te 0.113 0.368 0.030
Te 0.887 0.868 0.030
Te 0.315 0.098 0.098
Te 0.685 0.598 0.098
Te 0.226 0.261 0.250
Te 0.774 0.761 0.250
Te 0.315 0.098 0.402
Te 0.685 0.598 0.402
Te 0.113 0.368 0.470
Te 0.887 0.868 0.470
Te 0.476 0.250 0.500
Te 0.524 0.750 0.500
Te 0.113 0.132 0.530
Te 0.887 0.632 0.530
Te 0.315 0.402 0.598
Te 0.685 0.902 0.598
Te 0.226 0.239 0.750
Te 0.774 0.739 0.750
Te 0.315 0.402 0.902
Te 0.685 0.902 0.902
Te 0.113 0.132 0.970
Te 0.887 0.632 0.970
Zr 0.762 0.206 0.250
Zr 0.238 0.706 0.250
Zr 0.762 0.294 0.750
Zr 0.238 0.794 0.750

Uncorrected energy   -3.75 eV per atom
Total magnetic moment   0.00 μB/atom
Symmetry   No. 57

---

Record 2
The following is a PBE-GGA calculation of crystalline PmLu3F at its relaxed geometry, from OQMD.

a b c (Å): 4.930 4.930 4.930
angles (deg): 90.00 90.00 90.00
Fractional coordinates of all 5 atoms:
F 0.000 0.000 0.000
Lu 0.500 0.000 0.000
Lu 0.000 0.500 0.000
Lu 0.000 0.000 0.500
Pm 0.500 0.500 0.500

Uncorrected energy   -4.91 eV per atom
Total magnetic moment   0.00 μB/atom
Symmetry   No. 221